# 1
# MgTc2P

Crystalline MgTc2P at its relaxed geometry (PBE, Alexandria).

Results
* energy relative to the elements: -0.07 eV per atom
* distance to the lowest polymorph of the same formula: 264.2 meV per atom

Lattice parameters (Å, degrees): 4.2866 2.9399 4.9460 72.96 90.00 90.00
Positions (direct):
Mg 0.0000 0.5428 0.5336
P 0.5000 0.9312 0.7645
Tc 0.0000 0.8102 0.0029
Tc 0.5000 0.2158 0.1991

=====

# 2
# Zr2SiTcH

Crystalline Zr2SiTcH at its relaxed geometry (PBE, Alexandria).

Results
* E: -7.6605 eV/atom

Lattice parameters (Å, degrees): 4.3800 4.3800 3.8315 90.00 90.00 90.00
Positions (direct):
H 0.0000 0.0000 0.0000
Si 0.5000 0.5000 0.5000
Tc 0.0000 0.0000 0.5000
Zr 0.0000 0.5000 0.0000
Zr 0.5000 0.0000 0.0000

=====

# 3
# Li5SnAu6

Crystalline Li5SnAu6 at its relaxed geometry (PBE, Alexandria).

Results
* energy relative to the elements: -0.50 eV per atom
* distance to the lowest polymorph of the same formula: 0.0 meV per atom

Lattice parameters (Å, degrees): 4.4867 7.9515 7.6942 59.74 74.12 55.69
Positions (direct):
Li 0.4997 0.1596 0.6810
Li 0.9992 0.3273 0.3439
Li 0.5000 0.5000 0.0000
Li 0.0008 0.6727 0.6561
Li 0.5003 0.8404 0.3190
Sn 0.0000 0.0000 0.0000
Au 0.7324 0.0927 0.3474
Au 0.2637 0.5590 0.3487
Au 0.2233 0.2793 0.9979
Au 0.7767 0.7207 0.0021
Au 0.7363 0.4410 0.6513
Au 0.2676 0.9073 0.6526

=====

# 4
# NiAgW2

Crystalline NiAgW2 at its relaxed geometry (PBE, Alexandria).

Results
* energy relative to the elements: 0.47 eV per atom
* distance to the lowest polymorph of the same formula: 212.6 meV per atom

Lattice parameters (Å, degrees): 4.2223 2.6784 5.7555 68.47 90.00 90.00
Positions (direct):
Ag 0.5000 0.2500 0.2500
Ni 0.5000 0.7500 0.7500
W 0.0000 0.9792 0.9819
W 0.0000 0.5208 0.5181

=====

# 5
# Cu2P2Pb

Crystalline Cu2P2Pb at its relaxed geometry (PBE, Alexandria).

Results
* energy relative to the elements: 0.02 eV per atom

Lattice parameters (Å, degrees): 4.2178 4.2178 5.6344 68.02 68.02 90.00
Positions (direct):
Pb 0.0000 0.0000 0.0000
P 0.3794 0.3794 0.2412
P 0.6206 0.6206 0.7588
Cu 0.7500 0.2500 0.5000
Cu 0.2500 0.7500 0.5000

=====

# 6
# Pr3Zn8Ag

Crystalline Pr3Zn8Ag at its relaxed geometry (PBE, Alexandria).

Results
* energy relative to the elements: -0.26 eV per atom

Lattice parameters (Å, degrees): 5.5155 5.5155 9.6180 73.34 73.34 60.00
Positions (direct):
Pr 0.3772 0.3772 0.8684
Pr 0.9934 0.9934 0.0199
Pr 0.5044 0.5044 0.4868
Zn 0.9345 0.4384 0.1887
Zn 0.4375 0.9393 0.6838
Zn 0.4384 0.4384 0.1887
Zn 0.9393 0.9393 0.6838
Zn 0.1886 0.1886 0.4342
Zn 0.6876 0.6876 0.9373
Zn 0.4384 0.9345 0.1887
Zn 0.9393 0.4375 0.6838
Ag 0.8714 0.8714 0.3857